DFT (PBE) results for a relaxed structure of TbCe3Th2Sb6.

Fermi-level density of states, states/eV/f.u.: 23.0
Symmetry: C2/m (12)
Formation energy without anion corrections, eV/atom: -1.03
Volume, Å³ per atom: 32.030
Final energy, eV per atom: -6.20

a = 7.763 Å, b = 7.763 Å, c = 7.808 Å
α = 99.54°, β = 99.54°, γ = 120.01°
Atoms (fractional coordinates):
Tb 0.000 0.000 0.000
Ce 0.168 0.832 0.500
Ce 0.500 0.500 0.500
Ce 0.832 0.168 0.500
Th 0.334 0.666 0.000
Th 0.666 0.334 0.000
Sb 0.082 0.412 0.248
Sb 0.246 0.246 0.750
Sb 0.412 0.082 0.248
Sb 0.588 0.918 0.752
Sb 0.754 0.754 0.250
Sb 0.918 0.588 0.752


DFT (PBE) results for a relaxed structure of Sr2Li4Pt.

Fermi-level density of states, states/eV/f.u.: 4.4
Symmetry: I4/mmm (139)
E_form, eV per atom: -0.12
Volume, Å³ per atom: 28.800
Final energy, eV per atom: -2.55

a = 9.034 Å, b = 9.034 Å, c = 9.034 Å
α = 148.42°, β = 148.42°, γ = 45.27°
Atoms (fractional coordinates):
Sr 0.142 0.142 0.000
Sr 0.858 0.858 0.000
Li 0.000 0.500 0.500
Li 0.354 0.354 0.000
Li 0.500 0.000 0.500
Li 0.646 0.646 0.000
Pt 0.500 0.500 0.000


DFT (PBE) results for a relaxed structure of Ti7InSb2.

Fermi-level density of states, states/eV/f.u.: 14.6
Symmetry: Cmmm (65)
Formation energy without anion corrections, eV/atom: 0.36
Volume, Å³ per atom: 23.581
Final energy, eV per atom: -6.27

a = 7.668 Å, b = 7.668 Å, c = 4.748 Å
α = 90.00°, β = 90.00°, γ = 122.37°
Atoms (fractional coordinates):
Ti 0.000 0.000 0.000
Ti 0.222 0.439 0.000
Ti 0.289 0.711 0.500
Ti 0.439 0.222 0.000
Ti 0.561 0.778 0.000
Ti 0.711 0.289 0.500
Ti 0.778 0.561 0.000
In 0.500 0.500 0.500
Sb 0.200 0.800 0.000
Sb 0.800 0.200 0.000


DFT (PBE) results for a relaxed structure of AcLaGaGe.

Fermi-level density of states, states/eV/f.u.: 3.3
Symmetry: Amm2 (38)
E_form, eV per atom: -0.70
Volume, Å³ per atom: 28.911
Final energy, eV per atom: -4.87

a = 4.218 Å, b = 6.349 Å, c = 6.349 Å
α = 42.85°, β = 90.00°, γ = 90.00°
Atoms (fractional coordinates):
Ac 0.000 0.000 0.000
La 0.500 0.284 0.284
Ga 0.500 0.578 0.578
Ge 0.000 0.718 0.718


DFT (PBE) results for a relaxed structure of Na3CoRu.

Fermi-level density of states, states/eV/f.u.: 0.3
Symmetry: Pm-3m (221)
E_form, eV per atom: 1.61
Volume, Å³ per atom: 32.520
Final energy, eV per atom: -2.46

a = 5.458 Å, b = 5.458 Å, c = 5.458 Å
α = 90.00°, β = 90.00°, γ = 90.00°
Atoms (fractional coordinates):
Na 0.000 0.000 0.500
Na 0.000 0.500 0.000
Na 0.500 0.000 0.000
Co 0.500 0.500 0.500
Ru 0.000 0.000 0.000


DFT (PBE) results for a relaxed structure of Bi2Se2S.

Fermi-level density of states, states/eV/f.u.: 0.2
Symmetry: P4/mbm (127)
Formation energy without anion corrections, eV/atom: -0.18
Volume, Å³ per atom: 26.372
Final energy, eV per atom: -3.95

a = 8.005 Å, b = 8.005 Å, c = 4.115 Å
α = 90.00°, β = 90.00°, γ = 90.00°
Atoms (fractional coordinates):
Bi 0.192 0.308 0.000
Bi 0.308 0.808 0.000
Bi 0.692 0.192 0.000
Bi 0.808 0.692 0.000
Se 0.139 0.639 0.500
Se 0.361 0.139 0.500
Se 0.639 0.861 0.500
Se 0.861 0.361 0.500
S 0.000 0.000 0.000
S 0.500 0.500 0.000


DFT (PBE) results for a relaxed structure of Sm2Pa2C5.

Fermi-level density of states, states/eV/f.u.: 6.4
Symmetry: Cmce (64)
E_form, eV per atom: 0.11
Volume, Å³ per atom: 15.463
Final energy, eV per atom: -8.17

a = 7.028 Å, b = 7.028 Å, c = 6.748 Å
α = 90.00°, β = 90.00°, γ = 56.63°
Atoms (fractional coordinates):
Sm 0.207 0.207 0.000
Sm 0.293 0.293 0.500
Sm 0.707 0.707 0.500
Sm 0.793 0.793 0.000
Pa 0.150 0.850 0.651
Pa 0.350 0.650 0.151
Pa 0.650 0.350 0.849
Pa 0.850 0.150 0.349
C 0.000 0.000 0.000
C 0.042 0.713 0.344
C 0.213 0.542 0.844
C 0.287 0.958 0.344
C 0.458 0.787 0.844
C 0.500 0.500 0.500
C 0.542 0.213 0.156
C 0.713 0.042 0.656
C 0.787 0.458 0.156
C 0.958 0.287 0.656


DFT (PBE) results for a relaxed structure of LiHoEr2In4.

Fermi-level density of states, states/eV/f.u.: 4.0
Symmetry: R-3m (166)
E_form, eV per atom: -0.41
Volume, Å³ per atom: 24.977
Final energy, eV per atom: -3.73

a = 9.121 Å, b = 9.121 Å, c = 9.121 Å
α = 32.96°, β = 32.96°, γ = 32.96°
Atoms (fractional coordinates):
Li 0.000 0.000 0.000
Ho 0.500 0.500 0.500
Er 0.253 0.253 0.253
Er 0.747 0.747 0.747
In 0.123 0.123 0.123
In 0.373 0.373 0.373
In 0.627 0.627 0.627
In 0.877 0.877 0.877


DFT (PBE) results for a relaxed structure of MnBP2.

Fermi-level density of states, states/eV/f.u.: 2.4
Symmetry: I-42d (122)
E_form, eV per atom: -0.04
Volume, Å³ per atom: 14.890
Final energy, eV per atom: -6.70

a = 5.720 Å, b = 5.720 Å, c = 5.720 Å
α = 125.68°, β = 125.68°, γ = 80.42°
Atoms (fractional coordinates):
Mn 0.000 0.000 0.000
Mn 0.750 0.250 0.500
B 0.250 0.750 0.500
B 0.500 0.500 0.000
P 0.182 0.625 0.057
P 0.375 0.432 0.557
P 0.568 0.125 0.943
P 0.875 0.818 0.443


DFT (PBE) results for a relaxed structure of Pm2ScIn9.

Fermi-level density of states, states/eV/f.u.: 5.1
Symmetry: P4/mmm (123)
E_form, eV per atom: -0.41
Volume, Å³ per atom: 25.014
Final energy, eV per atom: -3.78

a = 4.649 Å, b = 4.649 Å, c = 13.889 Å
α = 90.00°, β = 90.00°, γ = 90.00°
Atoms (fractional coordinates):
Pm 0.000 0.000 0.171
Pm 0.000 0.000 0.829
Sc 0.000 0.000 0.500
In 0.000 0.500 0.000
In 0.000 0.500 0.342
In 0.000 0.500 0.658
In 0.500 0.000 0.000
In 0.500 0.000 0.342
In 0.500 0.000 0.658
In 0.500 0.500 0.168
In 0.500 0.500 0.500
In 0.500 0.500 0.832


DFT (PBE) results for a relaxed structure of Pm2Pr5HoSc.

Fermi-level density of states, states/eV/f.u.: 13.5
Symmetry: I4/mcm (140)
E_form, eV per atom: 0.28
Volume, Å³ per atom: 34.524
Final energy, eV per atom: -4.64

a = 10.515 Å, b = 10.515 Å, c = 10.515 Å
α = 132.42°, β = 132.42°, γ = 69.56°
Atoms (fractional coordinates):
Pm 0.125 0.625 0.750
Pm 0.375 0.125 0.500
Pm 0.625 0.875 0.500
Pm 0.875 0.375 0.250
Pr 0.000 0.000 0.000
Pr 0.072 0.136 0.500
Pr 0.136 0.636 0.064
Pr 0.364 0.428 0.500
Pr 0.428 0.928 0.064
Pr 0.500 0.500 0.000
Pr 0.572 0.072 0.936
Pr 0.636 0.572 0.500
Pr 0.864 0.364 0.936
Pr 0.928 0.864 0.500
Ho 0.250 0.250 0.000
Ho 0.750 0.750 0.000
Sc 0.250 0.750 0.500
Sc 0.750 0.250 0.500


DFT (PBE) results for a relaxed structure of Pm2Al4Ga3Cu.

Fermi-level density of states, states/eV/f.u.: 2.8
Symmetry: P-4m2 (115)
E_form, eV per atom: -0.43
Volume, Å³ per atom: 19.334
Final energy, eV per atom: -4.20

a = 4.247 Å, b = 4.247 Å, c = 10.717 Å
α = 90.00°, β = 90.00°, γ = 90.00°
Atoms (fractional coordinates):
Pm 0.000 0.500 0.244
Pm 0.500 0.000 0.756
Al 0.000 0.000 0.500
Al 0.000 0.500 0.874
Al 0.500 0.000 0.126
Al 0.500 0.500 0.500
Ga 0.000 0.000 0.000
Ga 0.000 0.500 0.642
Ga 0.500 0.000 0.358
Cu 0.500 0.500 0.000


DFT (PBE) results for a relaxed structure of Sr6HRh2Br3.

Fermi-level density of states, states/eV/f.u.: 5.3
Symmetry: C2/m (12)
Volume, Å³ per atom: 30.605
Final energy, eV per atom: -3.70

a = 7.339 Å, b = 7.339 Å, c = 8.235 Å
α = 98.49°, β = 98.49°, γ = 119.94°
Atoms (fractional coordinates):
Sr 0.098 0.431 0.793
Sr 0.235 0.235 0.206
Sr 0.431 0.098 0.793
Sr 0.569 0.902 0.207
Sr 0.765 0.765 0.794
Sr 0.902 0.569 0.207
H 0.500 0.500 0.000
Rh 0.167 0.833 0.000
Rh 0.833 0.167 0.000
Br 0.000 0.000 0.500
Br 0.336 0.664 0.500
Br 0.664 0.336 0.500


DFT (PBE) results for a relaxed structure of MoAs.

Fermi-level density of states, states/eV/f.u.: 1.0
Symmetry: P6_3/mmc (194)
E_form, eV per atom: 0.34
Volume, Å³ per atom: 17.631
Final energy, eV per atom: -7.40

a = 4.436 Å, b = 4.436 Å, c = 8.278 Å
α = 90.00°, β = 90.00°, γ = 120.00°
Atoms (fractional coordinates):
Mo 0.000 0.000 0.250
Mo 0.000 0.000 0.750
Mo 0.333 0.667 0.250
Mo 0.667 0.333 0.750
As 0.333 0.667 0.587
As 0.333 0.667 0.913
As 0.667 0.333 0.087
As 0.667 0.333 0.413


DFT (PBE) results for a relaxed structure of ThBeGe.

Fermi-level density of states, states/eV/f.u.: 2.4
Symmetry: I4mm (107)
E_form, eV per atom: 0.00
Volume, Å³ per atom: 19.812
Final energy, eV per atom: -5.26

a = 5.825 Å, b = 5.825 Å, c = 5.825 Å
α = 146.67°, β = 146.67°, γ = 47.85°
Atoms (fractional coordinates):
Th 0.000 0.000 0.000
Be 0.697 0.697 0.000
Ge 0.289 0.289 0.000


DFT (PBE) results for a relaxed structure of Co2HN.

Fermi-level density of states, states/eV/f.u.: 1.5
Symmetry: I-42d (122)
Volume, Å³ per atom: 8.397
Final energy, eV per atom: -6.38

a = 4.928 Å, b = 4.928 Å, c = 4.928 Å
α = 130.73°, β = 130.73°, γ = 72.24°
Atoms (fractional coordinates):
Co 0.116 0.625 0.991
Co 0.375 0.366 0.491
Co 0.634 0.125 0.009
Co 0.875 0.884 0.509
H 0.000 0.000 0.000
H 0.750 0.250 0.500
N 0.250 0.750 0.500
N 0.500 0.500 0.000


DFT (PBE) results for a relaxed structure of RbCdSnAu2.

Fermi-level density of states, states/eV/f.u.: 0.7
Symmetry: P4/mmm (123)
E_form, eV per atom: -0.08
Volume, Å³ per atom: 33.673
Final energy, eV per atom: -2.57

a = 5.503 Å, b = 5.503 Å, c = 5.560 Å
α = 90.00°, β = 90.00°, γ = 90.00°
Atoms (fractional coordinates):
Rb 0.000 0.000 0.000
Cd 0.500 0.500 0.000
Sn 0.500 0.500 0.500
Au 0.000 0.500 0.500
Au 0.500 0.000 0.500


DFT (PBE) results for a relaxed structure of SmLuOsRu.

Fermi-level density of states, states/eV/f.u.: 3.6
Symmetry: F-43m (216)
E_form, eV per atom: -0.15
Volume, Å³ per atom: 19.705
Final energy, eV per atom: -7.59

a = 4.813 Å, b = 4.813 Å, c = 4.813 Å
α = 60.00°, β = 60.00°, γ = 60.00°
Atoms (fractional coordinates):
Sm 0.000 0.000 0.000
Lu 0.500 0.500 0.500
Os 0.250 0.250 0.250
Ru 0.750 0.750 0.750


DFT (PBE) results for a relaxed structure of La2TbPm2Pr4.

Fermi-level density of states, states/eV/f.u.: 12.8
Symmetry: C2/m (12)
E_form, eV per atom: 0.01
Volume, Å³ per atom: 35.687
Final energy, eV per atom: -4.78

a = 9.834 Å, b = 9.834 Å, c = 9.903 Å
α = 115.12°, β = 115.12°, γ = 21.84°
Atoms (fractional coordinates):
La 0.165 0.165 0.499
La 0.835 0.835 0.501
Tb 0.500 0.500 0.500
Pm 0.352 0.352 0.832
Pm 0.648 0.648 0.168
Pr 0.018 0.018 0.832
Pr 0.315 0.315 0.167
Pr 0.685 0.685 0.833
Pr 0.982 0.982 0.168


DFT (PBE) results for a relaxed structure of AlRh.

Fermi-level density of states, states/eV/f.u.: 1.1
Symmetry: Pm (6)
E_form, eV per atom: -0.58
Volume, Å³ per atom: 14.591
Final energy, eV per atom: -6.13

a = 7.992 Å, b = 2.871 Å, c = 8.170 Å
α = 90.00°, β = 110.92°, γ = 90.00°
Atoms (fractional coordinates):
Al 0.000 0.000 0.000
Al 0.080 0.500 0.729
Al 0.261 0.500 0.296
Al 0.357 0.000 0.007
Al 0.789 0.000 0.499
Al 0.884 0.500 0.248
Rh 0.112 0.000 0.481
Rh 0.395 0.500 0.761
Rh 0.485 0.000 0.522
Rh 0.565 0.500 0.255
Rh 0.682 0.000 0.003
Rh 0.783 0.500 0.760


DFT (PBE) results for a relaxed structure of ScB3Ir.

Fermi-level density of states, states/eV/f.u.: 2.1
Symmetry: Pm-3m (221)
E_form, eV per atom: 2.27
Volume, Å³ per atom: 12.824
Final energy, eV per atom: -4.78

a = 4.003 Å, b = 4.003 Å, c = 4.003 Å
α = 90.00°, β = 90.00°, γ = 90.00°
Atoms (fractional coordinates):
Sc 0.000 0.000 0.000
B 0.000 0.000 0.500
B 0.000 0.500 0.000
B 0.500 0.000 0.000
Ir 0.500 0.500 0.500


DFT (PBE) results for a relaxed structure of CrTePtN2.

Fermi-level density of states, states/eV/f.u.: 2.0
Symmetry: P4/mmm (123)
Formation energy without anion corrections, eV/atom: 0.61
Volume, Å³ per atom: 16.270
Final energy, eV per atom: -6.48

a = 3.729 Å, b = 3.729 Å, c = 5.850 Å
α = 90.00°, β = 90.00°, γ = 90.00°
Atoms (fractional coordinates):
Cr 0.000 0.000 0.000
Te 0.000 0.000 0.500
Pt 0.500 0.500 0.500
N 0.000 0.500 0.000
N 0.500 0.000 0.000


DFT (PBE) results for a relaxed structure of PrAgSe2.

Fermi-level density of states, states/eV/f.u.: 1.2
Symmetry: Pmmn (59)
Formation energy without anion corrections, eV/atom: -0.93
Volume, Å³ per atom: 27.630
Final energy, eV per atom: -4.58

a = 4.096 Å, b = 4.810 Å, c = 11.220 Å
α = 90.00°, β = 90.00°, γ = 90.00°
Atoms (fractional coordinates):
Pr 0.250 0.250 0.153
Pr 0.750 0.750 0.847
Ag 0.250 0.750 0.367
Ag 0.750 0.250 0.633
Se 0.250 0.250 0.407
Se 0.250 0.250 0.876
Se 0.750 0.750 0.124
Se 0.750 0.750 0.593


DFT (PBE) results for a relaxed structure of Sr2PtAu2.

Fermi-level density of states, states/eV/f.u.: 2.2
Symmetry: I4/mmm (139)
E_form, eV per atom: -0.57
Volume, Å³ per atom: 28.624
Final energy, eV per atom: -3.77

a = 5.820 Å, b = 5.820 Å, c = 5.820 Å
α = 118.12°, β = 118.12°, γ = 93.28°
Atoms (fractional coordinates):
Sr 0.250 0.750 0.500
Sr 0.750 0.250 0.500
Pt 0.000 0.000 0.000
Au 0.335 0.335 0.000
Au 0.665 0.665 0.000